Record 1
This record from Alexandria via LeMat-Bulk describes crystalline SbMo5 at its relaxed geometry. The functional is GGA-PBE.

Cell: 10.033 3.264 6.382 Å, 90.00 108.69 90.00°
Fractional positions:
Sb 0.000 0.000 0.000
Sb 0.500 0.500 0.000
Mo 0.000 0.000 0.500
Mo 0.169 0.500 0.343
Mo 0.173 0.500 0.830
Mo 0.327 0.000 0.170
Mo 0.331 0.000 0.657
Mo 0.500 0.500 0.500
Mo 0.669 0.000 0.343
Mo 0.673 0.000 0.830
Mo 0.827 0.500 0.170
Mo 0.831 0.500 0.657

**Formation energy without anion corrections**: 0.0903 eV/atom
**Polymorph energy (0 for the lowest one)**: 5 meV per atom
**Calculated density**: 10.09 Mg/m³
**Space group**: C2/m

Record 2
This record from Alexandria via LeMat-Bulk describes crystalline Ca2YCd at its relaxed geometry. The functional is GGA-PBE.

Cell: 13.170 3.870 5.753 Å, 90.00 115.76 90.00°
Fractional positions:
Ca 0.000 0.000 0.000
Ca 0.215 0.000 0.716
Ca 0.500 0.500 0.000
Ca 0.715 0.500 0.716
Y 0.288 0.500 0.288
Y 0.788 0.000 0.288
Cd 0.495 0.000 0.495
Cd 0.995 0.500 0.495

**Formation enthalpy at 0 K**: -0.08 eV/atom
**Calculated density**: 3.54 Mg/m³
**Space group**: Cm

Record 3
This record from Alexandria via LeMat-Bulk describes crystalline OsRhAu2 at its relaxed geometry. The functional is GGA-PBE.

Cell: 6.390 6.390 6.390 Å, 90.00 90.00 90.00°
Fractional positions:
Os 0.000 0.000 0.000
Os 0.000 0.500 0.500
Os 0.500 0.000 0.500
Os 0.500 0.500 0.000
Rh 0.250 0.250 0.250
Rh 0.250 0.750 0.750
Rh 0.750 0.250 0.750
Rh 0.750 0.750 0.250
Au 0.000 0.000 0.500
Au 0.000 0.500 0.000
Au 0.250 0.250 0.750
Au 0.250 0.750 0.250
Au 0.500 0.000 0.000
Au 0.500 0.500 0.500
Au 0.750 0.250 0.250
Au 0.750 0.750 0.750

**Polymorph energy (0 for the lowest one)**: 435 meV per atom
**Formation enthalpy at 0 K**: 0.65 eV/atom
**Calculated density**: 17.49 Mg/m³
**Space group**: F-43m

Record 4
This record from Alexandria via LeMat-Bulk describes crystalline Pm4Tl5Si2 at its relaxed geometry. The functional is GGA-PBE.

Cell: 7.961 3.997 9.429 Å, 90.00 94.67 90.00°
Fractional positions:
Pm 0.194 0.000 0.342
Pm 0.220 0.000 0.918
Pm 0.780 0.000 0.082
Pm 0.806 0.000 0.658
Tl 0.147 0.500 0.631
Tl 0.457 0.500 0.162
Tl 0.500 0.500 0.500
Tl 0.543 0.500 0.838
Tl 0.853 0.500 0.369
Si 0.076 0.500 0.114
Si 0.924 0.500 0.886

**Formation energy without anion corrections**: -0.4070 eV/atom
**Calculated density**: 9.21 Mg/m³
**Space group**: P2/m

Record 5
This record from Alexandria via LeMat-Bulk describes crystalline Y6Si2SeS3 at its relaxed geometry. The functional is GGA-PBE.

Cell: 8.998 8.998 8.078 Å, 102.56 102.56 25.88°
Fractional positions:
Y 0.004 0.004 0.262
Y 0.330 0.330 0.908
Y 0.333 0.333 0.418
Y 0.667 0.667 0.582
Y 0.670 0.670 0.092
Y 0.996 0.996 0.738
Si 0.167 0.167 0.333
Si 0.833 0.833 0.667
Se 0.500 0.500 0.000
S 0.164 0.164 0.836
S 0.500 0.500 0.500
S 0.836 0.836 0.164

**Formation energy without anion corrections**: -1.6003 eV/atom
**Calculated density**: 4.56 Mg/m³
**Space group**: C2/m

Record 6
This record from Alexandria via LeMat-Bulk describes crystalline DyHf2Sc4 at its relaxed geometry. The functional is GGA-PBE.

Cell: 18.511 18.511 18.511 Å, 10.18 10.18 10.18°
Fractional positions:
Dy 0.000 0.000 0.000
Hf 0.189 0.189 0.189
Hf 0.811 0.811 0.811
Sc 0.098 0.098 0.098
Sc 0.383 0.383 0.383
Sc 0.617 0.617 0.617
Sc 0.902 0.902 0.902

**Formation enthalpy at 0 K**: 0.04 eV/atom
**Calculated density**: 6.75 Mg/m³
**Space group**: R-3m